No. 1
A relaxed structure of HfZrTc2I. Source: Alexandria, functional PBE.

Cell and atoms, written as POSCAR:
```
HfZrTc2I
1.0
4.791 0.000 0.000
0.000 5.089 0.000
0.000 0.000 4.791
Hf I Tc Zr
1 1 2 1
Cartesian
0.000 2.544 0.000
0.000 0.000 0.000
2.396 0.000 0.000
0.000 0.000 2.396
2.396 2.544 2.396
```

Output
The raw total energy is -6.739 eV per atom. As for the space group: No. 123.

=====

No. 2
A relaxed structure of HfTeI. Source: Alexandria, functional PBE.

Cell and atoms, written as POSCAR:
```
HfTeI
1.0
-6.632 -0.738 0.868
1.265 -3.503 5.594
-0.144 5.251 3.337
Te I Hf
2 2 2
Cartesian
-0.810 -0.208 6.121
-4.701 1.217 3.678
-3.980 -3.193 4.876
-1.531 4.202 4.922
-2.086 -2.546 6.870
-3.424 3.556 2.929
```

Output
The raw total energy is -5.336 eV per atom. As for the space group: No. 2.

=====

No. 3
A relaxed structure of HfTeI. Source: Alexandria, functional PBE.

Cell and atoms, written as POSCAR:
```
HfTeI
1.0
7.420 0.000 0.000
0.000 3.922 0.000
0.000 -1.961 3.396
I Hf Te
1 1 1
Cartesian
1.861 0.000 2.264
7.361 0.000 0.000
5.618 1.961 1.132
```

Output
The raw total energy is -5.592 eV per atom. As for the space group: No. 156.

=====

No. 4
A relaxed structure of Hf2Te2I. Source: Alexandria, functional PBE.

Cell and atoms, written as POSCAR:
```
Hf2Te2I
1.0
8.311 0.000 0.000
0.000 8.311 0.000
0.000 0.000 3.710
Te Hf I
4 4 2
Cartesian
2.928 1.227 1.855
1.227 5.383 1.855
7.084 2.928 1.855
5.383 7.084 1.855
5.240 1.084 0.000
7.227 5.240 0.000
1.084 3.072 0.000
3.072 7.227 0.000
0.000 0.000 0.000
4.156 4.156 0.000
```

Output
The raw total energy is -6.003 eV per atom. As for the space group: No. 127.

=====

No. 5
A relaxed structure of HfTe3I. Source: Alexandria, functional PBE.

Cell and atoms, written as POSCAR:
```
HfTe3I
1.0
-0.204 5.240 -2.236
-3.975 1.472 3.812
4.082 1.696 3.601
Te I Hf
3 1 1
Cartesian
-0.102 2.620 -1.118
-1.988 0.736 1.906
2.041 0.848 1.801
0.000 0.000 0.000
-0.049 4.204 2.589
```

Output
The raw total energy is -3.011 eV per atom. As for the space group: No. 221.

=====

No. 6
A relaxed structure of HfTeI. Source: Alexandria, functional PBE.

Cell and atoms, written as POSCAR:
```
HfTeI
1.0
3.915 0.000 0.000
0.000 7.002 0.169
0.000 -0.194 7.420
I Hf Te
2 2 2
Cartesian
0.979 3.927 5.400
2.936 2.881 2.189
2.936 5.520 3.774
0.979 1.287 3.815
2.936 0.443 5.694
0.979 6.364 1.895
```

Output
The raw total energy is -5.644 eV per atom. As for the space group: No. 11.

=====

No. 7
A relaxed structure of HfTe3I. Source: Alexandria, functional PBE.

Cell and atoms, written as POSCAR:
```
HfTe3I
1.0
5.571 0.000 0.000
0.000 5.571 0.000
0.000 0.000 5.571
Hf Te I
1 3 1
Cartesian
0.000 0.000 0.000
0.000 0.000 2.785
0.000 2.785 0.000
2.785 0.000 0.000
2.785 2.785 2.785
```

Output
The raw total energy is -4.279 eV per atom. As for the space group: No. 221.

=====

No. 8
A relaxed structure of HfTeI. Source: Alexandria, functional PBE.

Cell and atoms, written as POSCAR:
```
HfTeI
1.0
3.888 -0.030 -0.482
-1.950 3.399 -0.015
-0.035 -0.024 15.153
Te Hf I
2 2 2
Cartesian
2.150 1.247 1.393
-0.247 2.098 13.263
0.422 0.264 3.442
1.481 3.080 11.215
1.246 0.679 9.471
0.657 2.665 5.186
```

Output
The raw total energy is -5.585 eV per atom. As for the space group: No. 12.

=====

No. 9
A relaxed structure of HfTiTe2I. Source: Alexandria, functional PBE.

Cell and atoms, written as POSCAR:
```
HfTiTe2I
1.0
5.360 0.000 0.000
0.000 5.360 0.000
0.000 0.000 5.293
I Te Ti Hf
1 2 1 1
Cartesian
0.000 0.000 2.647
2.680 0.000 0.000
0.000 2.680 0.000
0.000 0.000 0.000
2.680 2.680 2.647
```

Output
The raw total energy is -4.776 eV per atom. As for the space group: No. 123.

=====

No. 10
A relaxed structure of HfTiTeI2. Source: Alexandria, functional PBE.

Cell and atoms, written as POSCAR:
```
HfTiTeI2
1.0
5.388 0.000 0.000
0.000 5.388 0.000
0.000 0.000 5.495
Ti I Hf Te
1 2 1 1
Cartesian
0.000 0.000 0.000
2.694 0.000 0.000
0.000 2.694 0.000
2.694 2.694 2.748
0.000 0.000 2.748
```

Output
The raw total energy is -4.390 eV per atom. As for the space group: No. 123.

=====

No. 11
A relaxed structure of HfTlTe2I. Source: Alexandria, functional PBE.

Cell and atoms, written as POSCAR:
```
HfTlTe2I
1.0
5.617 0.000 0.000
0.000 5.617 0.000
0.000 0.000 5.809
Tl I Hf Te
1 1 1 2
Cartesian
2.808 2.808 2.904
0.000 0.000 2.904
0.000 0.000 0.000
2.808 0.000 0.000
0.000 2.808 0.000
```

Output
The raw total energy is -4.494 eV per atom. As for the space group: No. 123.

=====

No. 12
A relaxed structure of HfTlTeI2. Source: Alexandria, functional PBE.

Cell and atoms, written as POSCAR:
```
HfTlTeI2
1.0
-3.232 4.589 1.269
-3.513 -3.334 3.109
3.139 0.948 4.564
I Hf Te Tl
2 1 1 1
Cartesian
-1.616 2.295 0.635
-1.757 -1.667 1.554
0.000 0.000 0.000
1.570 0.474 2.282
-1.803 1.102 4.471
```

Output
The raw total energy is -4.136 eV per atom. As for the space group: No. 123.

=====

No. 13
A relaxed structure of HfTe2WI. Source: Alexandria, functional PBE.

Cell and atoms, written as POSCAR:
```
HfTe2WI
1.0
5.585 0.000 0.000
0.000 5.585 0.000
0.000 0.000 5.542
Te I W Hf
2 1 1 1
Cartesian
0.000 2.792 0.000
2.792 0.000 0.000
0.000 0.000 2.771
2.792 2.792 2.771
0.000 0.000 0.000
```

Output
The raw total energy is -5.109 eV per atom. As for the space group: No. 123.

=====

No. 14
A relaxed structure of YHfTeI2. Source: Alexandria, functional PBE.

Cell and atoms, written as POSCAR:
```
YHfTeI2
1.0
5.892 0.000 0.000
0.000 5.892 0.000
0.000 0.000 5.954
I Hf Y Te
2 1 1 1
Cartesian
2.946 0.000 0.000
0.000 2.946 0.000
2.946 2.946 2.977
0.000 0.000 0.000
0.000 0.000 2.977
```

Output
The raw total energy is -4.393 eV per atom. As for the space group: No. 123.

=====

No. 15
A relaxed structure of YHfTeI2. Source: Alexandria, functional PBE.

Cell and atoms, written as POSCAR:
```
YHfTeI2
1.0
-0.091 3.424 4.376
-5.411 0.942 -0.849
-1.286 -4.344 3.372
Y Hf Te I
1 1 1 2
Cartesian
-3.394 0.011 3.450
0.000 0.000 0.000
-0.643 -2.172 1.686
-0.045 1.712 2.188
-2.705 0.471 -0.425
```

Output
The raw total energy is -4.621 eV per atom. As for the space group: No. 123.

=====

No. 16
A relaxed structure of HfZrTe2I. Source: Alexandria, functional PBE.

Cell and atoms, written as POSCAR:
```
HfZrTe2I
1.0
-0.584 -3.118 -4.560
-4.400 -2.509 2.279
-3.313 3.822 -2.189
I Hf Zr Te
1 1 1 2
Cartesian
-1.656 1.911 -1.094
0.000 0.000 0.000
-4.148 -0.903 -2.235
-2.200 -1.255 1.139
-0.292 -1.559 -2.280
```

Output
The raw total energy is -5.000 eV per atom. As for the space group: No. 123.

=====

No. 17
A relaxed structure of HfTi3I. Source: Alexandria, functional PBE.

Cell and atoms, written as POSCAR:
```
HfTi3I
1.0
-2.605 1.310 4.079
1.883 -3.938 2.467
3.848 2.814 1.554
I Hf Ti
1 1 3
Cartesian
1.564 0.093 4.050
0.000 0.000 0.000
0.942 -1.969 1.233
1.924 1.407 0.777
-1.302 0.655 2.040
```

Output
The raw total energy is -5.821 eV per atom. As for the space group: No. 221.

=====

No. 18
A relaxed structure of HfTi3I. Source: Alexandria, functional PBE.

Cell and atoms, written as POSCAR:
```
HfTi3I
1.0
4.902 0.000 0.000
0.000 4.902 0.000
0.000 0.000 4.902
Ti I Hf
3 1 1
Cartesian
2.451 0.000 0.000
0.000 2.451 0.000
0.000 0.000 2.451
0.000 0.000 0.000
2.451 2.451 2.451
```

Output
The raw total energy is -6.107 eV per atom. As for the space group: No. 221.

=====

No. 19
A relaxed structure of Hf3TiI. Source: Alexandria, functional PBE.

Cell and atoms, written as POSCAR:
```
Hf3TiI
1.0
-1.170 -2.734 4.079
4.677 0.657 1.782
-1.496 4.192 2.381
Hf I Ti
3 1 1
Cartesian
-0.748 2.096 1.190
-0.585 -1.367 2.040
2.338 0.329 0.891
1.005 1.058 4.121
0.000 0.000 0.000
```

Output
The raw total energy is -6.878 eV per atom. As for the space group: No. 221.

=====

No. 20
A relaxed structure of HfTiI3. Source: Alexandria, functional PBE.

Cell and atoms, written as POSCAR:
```
HfTiI3
1.0
-0.180 0.095 5.683
2.892 -4.894 0.174
4.894 2.895 0.106
Ti I Hf
1 3 1
Cartesian
3.803 -0.952 2.982
-0.090 0.048 2.842
2.447 1.448 0.053
1.446 -2.447 0.087
0.000 0.000 0.000
```

Output
The raw total energy is -4.068 eV per atom. As for the space group: No. 221.

=====

No. 21
A relaxed structure of HfTi2I6. Source: Alexandria, functional PBE.

Cell and atoms, written as POSCAR:
```
HfTi2I6
1.0
-5.398 3.112 -2.884
-7.094 -4.132 5.610
-0.863 7.486 6.487
I Hf Ti
12 2 4
Cartesian
-11.360 1.584 4.610
-2.485 2.544 0.526
-10.870 3.922 8.687
-9.069 5.828 5.160
-5.862 4.289 2.770
-5.211 6.461 6.537
-4.286 0.638 4.053
-7.493 2.178 6.443
-7.133 4.301 10.275
-1.995 4.882 4.603
-8.144 0.005 2.676
-6.222 2.166 -1.062
-10.770 -1.103 3.500
-2.585 7.570 5.713
-6.008 4.085 7.698
-7.348 2.381 1.515
-9.905 3.407 6.087
-3.450 3.059 3.126
```

Output
The raw total energy is -4.270 eV per atom. As for the space group: No. 15.

=====

No. 22
A relaxed structure of Hf3TiI. Source: Alexandria, functional PBE.

Cell and atoms, written as POSCAR:
```
Hf3TiI
1.0
5.146 0.000 0.000
0.000 5.146 0.000
0.000 0.000 5.146
Hf Ti I
3 1 1
Cartesian
0.000 2.573 0.000
0.000 0.000 2.573
2.573 0.000 0.000
2.573 2.573 2.573
0.000 0.000 0.000
```

Output
The raw total energy is -6.580 eV per atom. As for the space group: No. 221.

=====

No. 23
A relaxed structure of HfTiWI2. Source: Alexandria, functional PBE.

Cell and atoms, written as POSCAR:
```
HfTiWI2
1.0
-1.084 -3.544 3.681
3.614 -2.707 -1.542
3.234 2.437 3.299
I W Ti Hf
2 1 1 1
Cartesian
-0.542 -1.772 1.840
1.617 1.219 1.649
1.807 -1.354 -0.771
0.000 0.000 0.000
2.882 -1.907 2.719
```

Output
The raw total energy is -5.386 eV per atom. As for the space group: No. 123.

=====

No. 24
A relaxed structure of HfTl2I8. Source: Alexandria, functional PBE.

Cell and atoms, written as POSCAR:
```
HfTl2I8
1.0
-5.761 3.225 -4.058
-5.017 -0.203 6.692
1.614 7.480 3.383
I Tl Hf
8 2 1
Cartesian
-5.667 6.148 2.917
-3.991 7.856 -0.595
-1.000 7.481 4.529
-4.599 3.357 -1.421
-8.164 3.020 1.488
-3.497 4.354 3.100
-5.173 2.646 6.612
-4.565 7.144 7.438
-6.836 5.526 -0.868
-2.328 4.975 6.885
0.000 0.000 0.000
```

Output
The raw total energy is -3.069 eV per atom. As for the space group: No. 12.

=====

No. 25
A relaxed structure of Hf3Tl2I9. Source: Alexandria, functional PBE.

Cell and atoms, written as POSCAR:
```
Hf3Tl2I9
1.0
-6.966 -1.727 8.376
-0.991 -9.489 -5.961
9.742 1.866 5.306
I Tl Hf
18 4 6
Cartesian
-5.465 -9.830 2.074
-1.248 -8.510 -3.273
-0.925 -1.488 8.995
0.702 -6.821 6.206
4.012 -1.375 7.135
0.231 -2.030 5.317
-2.044 -4.437 2.928
2.711 -7.861 -1.274
1.084 -2.528 1.516
3.830 -4.912 4.794
-2.227 -7.975 0.586
7.022 -3.300 3.252
7.250 0.480 5.648
3.033 -0.839 10.994
4.789 -5.481 0.961
-5.236 -6.049 4.470
1.554 -7.320 2.405
-3.004 -3.869 6.760
-2.282 -7.965 4.783
1.249 -4.229 8.490
4.068 -1.384 2.938
0.536 -5.120 -0.769
4.175 -8.240 1.541
-1.401 -1.633 2.980
-4.206 -3.031 4.274
5.991 -6.319 3.448
3.186 -7.717 4.741
-2.389 -1.109 6.181
```

Output
The raw total energy is -4.170 eV per atom. As for the space group: No. 12.

=====

No. 26
A relaxed structure of Hf2TlI. Source: Alexandria, functional PBE.

Cell and atoms, written as POSCAR:
```
Hf2TlI
1.0
0.000 3.583 3.583
3.583 0.000 3.583
3.583 3.583 0.000
I Hf Tl
1 2 1
Cartesian
0.000 0.000 0.000
5.375 5.375 5.375
1.792 1.792 1.792
3.583 3.583 3.583
```

Output
The raw total energy is -5.639 eV per atom. As for the space group: No. 225.

=====

Computed energy relative to the elements, uncorrected (eV per atom) in order:
1.417, -0.454, -0.710, -0.454, 1.174, -0.762, -0.093, -0.703, 0.360, 0.428, -0.464, -0.424, 1.039, 0.139, -0.089, 0.267, 1.217, 0.931, 0.984, 0.432, -0.376, 1.282, 1.394, -0.606, -0.703, 0.316